a) Below is crystalline TlGaSi2 at its relaxed geometry, with properties calculated at the PBE level.

Lattice parameters (Å, degrees): 4.875 4.875 4.875 60.00 60.00 60.00
Atoms (fractional coordinates):
Tl  0.500  0.500  0.500
Si  0.750  0.750  0.750
Si  0.250  0.250  0.250
Ga  0.000  0.000  0.000

Computed properties:
- Volume: 20.49 Å³ per atom
- Space group: Fm-3m (225)

---

b) Below is crystalline TlGaSi2 at its relaxed geometry, with properties calculated at the PBE level.

Lattice parameters (Å, degrees): 5.952 5.952 7.185 65.53 65.53 90.00
Atoms (fractional coordinates):
Si  0.587  0.125  0.250
Si  0.163  0.625  0.250
Si  0.375  0.413  0.750
Si  0.875  0.837  0.750
Tl  0.000  0.000  0.000
Tl  0.750  0.250  0.500
Ga  0.500  0.500  0.000
Ga  0.250  0.750  0.500

Computed properties:
- Volume: 25.79 Å³ per atom
- Space group: I-42d (122)

---

Need the numbers? Relative energies in kJ/mol of atoms: a) 9.4; b) 0.0.

---

a) Below is crystalline TlGa3Si at its relaxed geometry, with properties calculated at the PBE level.

Lattice parameters (Å, degrees): 5.306 5.306 5.306 90.00 90.00 90.00
Atoms (fractional coordinates):
Si  0.500  0.500  0.500
Ga  0.000  0.000  0.500
Ga  0.000  0.500  0.000
Ga  0.500  0.000  0.000
Tl  0.000  0.000  0.000

Computed properties:
- Volume: 29.88 Å³ per atom
- Space group: Pm-3m (221)

---

b) Below is crystalline TlGa3Si at its relaxed geometry, with properties calculated at the PBE level.

Lattice parameters (Å, degrees): 4.942 4.942 4.942 90.00 90.00 90.00
Atoms (fractional coordinates):
Ga  0.000  0.500  0.000
Ga  0.000  0.000  0.500
Ga  0.500  0.000  0.000
Tl  0.500  0.500  0.500
Si  0.000  0.000  0.000

Computed properties:
- Volume: 24.14 Å³ per atom
- Space group: Pm-3m (221)

---

Need the numbers? Relative energies in kJ/mol of atoms: a) 64.3; b) 0.0.

---

a) Below is crystalline TmGa2Si at its relaxed geometry, with properties calculated at the PBE level.

Lattice parameters (Å, degrees): 4.257 4.156 4.156 90.00 90.00 90.00
Atoms (fractional coordinates):
Tm  0.500  0.500  0.500
Ga  0.000  0.000  0.500
Ga  0.000  0.500  0.000
Si  0.500  0.000  0.000

Computed properties:
- Volume: 18.39 Å³ per atom
- Space group: P4/mmm (123)

---

b) Below is crystalline TmGa2Si at its relaxed geometry, with properties calculated at the PBE level.

Lattice parameters (Å, degrees): 4.303 4.303 5.481 66.89 66.89 60.00
Atoms (fractional coordinates):
Ga  0.720  0.720  0.841
Ga  0.280  0.280  0.159
Tm  0.500  0.500  0.500
Si  0.000  0.000  0.000

Computed properties:
- Volume: 19.58 Å³ per atom
- Space group: R-3m (166)

---

Need the numbers? Relative energies in kJ/mol of atoms: a) 0.0; b) 20.1.

---

a) Below is crystalline TmGaSi2 at its relaxed geometry, with properties calculated at the PBE level.

Lattice parameters (Å, degrees): 4.094 4.182 4.182 90.00 90.00 90.00
Atoms (fractional coordinates):
Ga  0.500  0.000  0.000
Si  0.000  0.000  0.500
Si  0.000  0.500  0.000
Tm  0.500  0.500  0.500

Computed properties:
- Volume: 17.90 Å³ per atom
- Space group: P4/mmm (123)

---

b) Below is crystalline TmGaSi2 at its relaxed geometry, with properties calculated at the PBE level.

Lattice parameters (Å, degrees): 4.321 4.321 5.324 66.06 66.06 60.00
Atoms (fractional coordinates):
Ga  0.000  0.000  0.000
Si  0.288  0.288  0.135
Si  0.712  0.712  0.865
Tm  0.500  0.500  0.500

Computed properties:
- Volume: 19.01 Å³ per atom
- Space group: R-3m (166)

---

Need the numbers? Relative energies in kJ/mol of atoms: a) 0.0; b) 12.4.

---

a) Below is crystalline V3GaSi at its relaxed geometry, with properties calculated at the PBE level.

Lattice parameters (Å, degrees): 4.465 5.029 6.968 111.15 90.00 90.00
Atoms (fractional coordinates):
V  0.750  0.410  0.336
V  0.500  0.000  0.000
V  0.250  0.590  0.664
V  0.000  0.000  0.000
V  0.250  0.074  0.664
V  0.750  0.926  0.336
Ga  0.750  0.430  0.861
Ga  0.250  0.570  0.139
Si  0.750  0.828  0.656
Si  0.250  0.172  0.344

Computed properties:
- Volume: 14.59 Å³ per atom
- Space group: Cmcm (63)

---

b) Below is crystalline V3GaSi at its relaxed geometry, with properties calculated at the PBE level.

Lattice parameters (Å, degrees): 3.260 6.401 7.881 105.38 78.08 120.65
Atoms (fractional coordinates):
V  0.147  0.848  0.403
V  0.948  0.049  0.201
V  0.269  0.759  0.980
V  0.853  0.152  0.597
V  0.052  0.951  0.799
V  0.731  0.241  0.020
Ga  0.530  0.434  0.807
Ga  0.470  0.566  0.193
Si  0.361  0.660  0.598
Si  0.639  0.340  0.402

Computed properties:
- Volume: 13.59 Å³ per atom
- Space group: C2/m (12)

---

c) Below is crystalline V3GaSi at its relaxed geometry, with properties calculated at the PBE level.

Lattice parameters (Å, degrees): 4.418 4.418 4.418 90.00 90.00 90.00
Site moments in Bohr magnetons follow the coordinates.
Atoms (fractional coordinates):
V  0.000  0.500  0.000  1.14
V  0.500  0.000  0.000  1.14
V  0.000  0.000  0.500  1.14
Ga  0.500  0.500  0.500  -0.07
Si  0.000  0.000  0.000  -0.04

Computed properties:
- Volume: 17.24 Å³ per atom
- Space group: Pm-3m (221)

---

Need the numbers? Relative energies in kJ/mol of atoms: a) 22.2; b) 0.0; c) 79.3.

---

a) Below is crystalline VGaSi at its relaxed geometry, with properties calculated at the PBE level.

Lattice parameters (Å, degrees): 5.215 9.026 6.170 137.01 90.00 90.00
Atoms (fractional coordinates):
V  0.750  0.500  0.000
V  0.250  0.500  0.000
V  0.250  0.000  0.000
V  0.750  0.000  0.000
Si  0.500  0.250  0.500
Si  0.000  0.250  0.500
Si  0.000  0.750  0.500
Si  0.500  0.750  0.500
Ga  0.500  0.750  0.000
Ga  0.500  0.250  0.000
Ga  0.000  0.250  0.000
Ga  0.000  0.750  0.000

Computed properties:
- Volume: 16.51 Å³ per atom
- Space group: Pmmm (47)

---

b) Below is crystalline VGaSi at its relaxed geometry, with properties calculated at the PBE level.

Lattice parameters (Å, degrees): 2.532 4.346 4.346 120.00 90.00 90.00
Atoms (fractional coordinates):
V  0.333  0.333  0.667
Ga  0.833  0.667  0.333
Si  0.834  0.000  0.000

Computed properties:
- Volume: 13.81 Å³ per atom
- Space group: P-6m2 (187)

---

Need the numbers? Relative energies in kJ/mol of atoms: a) 0.0; b) 16.7.

---

a) Below is crystalline GaSi3W at its relaxed geometry, with properties calculated at the PBE level.

Lattice parameters (Å, degrees): 4.791 4.791 4.791 90.00 90.00 90.00
Atoms (fractional coordinates):
W  0.000  0.000  0.000
Si  0.000  0.000  0.500
Si  0.500  0.000  0.000
Si  0.000  0.500  0.000
Ga  0.500  0.500  0.500

Computed properties:
- Volume: 22.00 Å³ per atom
- Space group: Pm-3m (221)

---

b) Below is crystalline GaSi3W at its relaxed geometry, with properties calculated at the PBE level.

Lattice parameters (Å, degrees): 4.551 4.551 4.551 90.00 90.00 90.00
Atoms (fractional coordinates):
Ga  0.000  0.000  0.000
Si  0.000  0.000  0.500
Si  0.500  0.000  0.000
Si  0.000  0.500  0.000
W  0.500  0.500  0.500

Computed properties:
- Volume: 18.85 Å³ per atom
- Space group: Pm-3m (221)

---

Need the numbers? Relative energies in kJ/mol of atoms: a) 0.0; b) 112.8.

---

a) Below is crystalline ZnGa2Si at its relaxed geometry, with properties calculated at the PBE level.

Lattice parameters (Å, degrees): 7.651 7.651 5.981 50.24 50.24 90.00
Atoms (fractional coordinates):
Ga  0.173  0.625  0.250
Ga  0.375  0.423  0.750
Ga  0.577  0.125  0.250
Ga  0.875  0.827  0.750
Si  0.250  0.750  0.500
Si  0.500  0.500  0.000
Zn  0.000  0.000  0.000
Zn  0.750  0.250  0.500

Computed properties:
- Volume: 18.66 Å³ per atom
- Space group: I-42d (122)

---

b) Below is crystalline ZnGa2Si at its relaxed geometry, with properties calculated at the PBE level.

Lattice parameters (Å, degrees): 4.099 4.057 4.057 90.00 90.00 90.00
Atoms (fractional coordinates):
Ga  0.000  0.500  0.000
Ga  0.000  0.000  0.500
Si  0.500  0.500  0.500
Zn  0.500  0.000  0.000

Computed properties:
- Volume: 16.87 Å³ per atom
- Space group: P4/mmm (123)

---

Need the numbers? Relative energies in kJ/mol of atoms: a) 0.0; b) 1.6.